Entry 1:
SnBTeN2 PBE-GGA relaxed; excess energy over the best structure of this formula in the dataset = 0 meV per atom; uncorrected energy = -4.3532 eV/atom; theoretical density = 6.50 g cm⁻³; uncorrected formation energy = 40.16 kcal/mol of atoms
1.0
3.941 0.000 0.000
0.000 3.941 0.000
0.000 0.000 4.692
Sn B Te N
1 1 1 2
Direct
0.000 0.000 0.000
0.500 0.500 0.500
0.500 0.500 0.000
0.000 0.500 0.500
0.500 0.000 0.500

Entry 2:
PaNbOs2 PBE-GGA relaxed; excess energy over the best structure of this formula in the dataset = 0 meV per atom; formation energy from the elements = -263 meV/atom; uncorrected energy = -10.7693 eV/atom; theoretical density = 16.20 g cm⁻³
1.0
3.116 0.000 0.000
0.000 3.116 0.000
0.000 0.000 7.438
Pa Nb Os
1 1 2
Direct
0.000 0.000 0.000
0.000 0.000 0.500
0.500 0.500 0.286
0.500 0.500 0.714

Entry 3:
RbTlAu2 PBE-GGA relaxed; excess energy over the best structure of this formula in the dataset = 1 meV per atom; formation energy from the elements = -193 meV/atom; uncorrected energy = -2.6655 eV/atom; theoretical density = 8.76 g cm⁻³
1.0
2.423 1.399 6.379
-2.423 1.399 6.379
0.000 -2.797 6.379
Rb Tl Au
1 1 2
Direct
0.000 0.000 0.000
0.196 0.196 0.196
0.462 0.462 0.462
0.794 0.794 0.794

Entry 4:
Th4OsPt2 PBE-GGA relaxed; formation energy from the elements = -731 meV/atom; uncorrected energy = -8.3007 eV/atom; theoretical density = 13.28 g cm⁻³
1.0
4.620 0.000 0.000
0.009 6.220 0.000
2.307 2.417 6.564
Th Os Pt
4 1 2
Direct
0.087 0.287 0.325
0.352 0.221 0.794
0.648 0.779 0.206
0.913 0.713 0.675
0.500 0.000 0.500
0.273 0.720 0.957
0.727 0.280 0.043

Entry 5:
La2TmIr PBE-GGA relaxed; excess energy over the best structure of this formula in the dataset = 402 meV per atom; formation energy from the elements = -105 meV/atom; uncorrected energy = -5.9022 eV/atom; theoretical density = 7.64 g cm⁻³
1.0
1.943 1.122 10.622
-1.943 1.122 10.622
0.000 -2.244 10.622
La Tm Ir
2 1 1
Direct
0.112 0.112 0.112
0.888 0.888 0.888
0.000 0.000 0.000
0.500 0.500 0.500

Entry 6:
Sn3GePd4 PBE-GGA relaxed; formation energy from the elements = -432 meV/atom; uncorrected energy = -5.1067 eV/atom; theoretical density = 9.52 g cm⁻³
1.0
10.350 0.000 0.000
0.000 5.554 0.000
0.000 0.000 5.184
Sn Ge Pd
6 2 8
Direct
0.000 0.173 0.000
0.246 0.168 0.509
0.254 0.832 0.009
0.500 0.827 0.500
0.746 0.832 0.009
0.754 0.168 0.509
0.000 0.821 0.500
0.500 0.179 0.000
0.000 0.357 0.499
0.000 0.666 0.997
0.242 0.659 0.510
0.258 0.341 0.010
0.500 0.334 0.497
0.500 0.643 0.999
0.742 0.341 0.010
0.758 0.659 0.510

Entry 7:
Li3Pd2O2F3 PBE-GGA relaxed; uncorrected energy = -4.6387 eV/atom; theoretical density = 3.81 g cm⁻³; uncorrected formation energy = -33.97 kcal/mol of atoms
1.0
-2.031 2.031 8.513
2.031 -2.031 8.513
2.031 2.031 -8.513
Li Pd O F
3 2 2 3
Direct
0.000 0.000 0.000
0.396 0.396 0.000
0.604 0.604 0.000
0.250 0.750 0.500
0.750 0.250 0.500
0.278 0.278 0.000
0.722 0.722 0.000
0.106 0.106 0.000
0.500 0.500 0.000
0.894 0.894 0.000

Entry 8:
GdHgAs2 PBE-GGA relaxed; formation energy from the elements = -562 meV/atom; uncorrected energy = -6.4823 eV/atom; theoretical density = 9.65 g cm⁻³
1.0
4.697 0.000 0.000
0.000 4.697 0.000
0.000 0.000 3.961
Gd Hg As
1 1 2
Direct
0.000 0.000 0.000
0.500 0.500 0.000
0.000 0.500 0.500
0.500 0.000 0.500

Entry 9:
Tb2SmEr2Sc2 PBE-GGA relaxed; formation energy from the elements = 74 meV/atom; uncorrected energy = -5.0355 eV/atom; theoretical density = 7.15 g cm⁻³
1.0
-1.707 2.701 11.239
1.707 -2.701 11.239
1.707 2.701 -11.239
Tb Sm Er Sc
2 1 2 2
Direct
0.073 0.073 0.000
0.927 0.927 0.000
0.500 0.500 0.000
0.208 0.708 0.500
0.792 0.292 0.500
0.355 0.855 0.500
0.645 0.145 0.500

Entry 10:
ThGa2Ru2Rh PBE-GGA relaxed; formation energy from the elements = -87 meV/atom; uncorrected energy = -6.6498 eV/atom; theoretical density = 9.65 g cm⁻³
1.0
4.712 0.000 0.000
0.000 4.712 0.000
0.000 0.000 5.245
Th Ga Ru Rh
1 2 2 1
Direct
0.000 0.000 0.000
0.000 0.500 0.500
0.500 0.000 0.500
0.500 0.500 0.241
0.500 0.500 0.759
0.000 0.000 0.500

Entry 11:
YPuHgRu PBE-GGA relaxed; excess energy over the best structure of this formula in the dataset = 0 meV per atom; formation energy from the elements = -284 meV/atom; uncorrected energy = -7.8779 eV/atom; theoretical density = 11.56 g cm⁻³
1.0
3.372 0.000 0.000
0.000 3.372 0.000
0.000 0.000 8.022
Y Pu Hg Ru
1 1 1 1
Direct
0.000 0.000 0.000
0.000 0.000 0.570
0.500 0.500 0.277
0.500 0.500 0.782

Entry 12:
Ta4InRe PBE-GGA relaxed; formation energy from the elements = 430 meV/atom; uncorrected energy = -10.0033 eV/atom; theoretical density = 15.24 g cm⁻³
1.0
0.000 3.822 3.822
3.822 0.000 3.822
3.822 3.822 0.000
Ta In Re
4 1 1
Direct
0.125 0.125 0.125
0.125 0.125 0.624
0.125 0.624 0.125
0.624 0.125 0.125
0.750 0.750 0.750
0.500 0.500 0.500

Entry 13:
ZrPa3Tc4 PBE-GGA relaxed; formation energy from the elements = -233 meV/atom; uncorrected energy = -10.0457 eV/atom; theoretical density = 12.33 g cm⁻³
1.0
2.451 1.415 7.613
-2.451 1.415 7.613
0.000 -2.830 7.613
Zr Pa Tc
1 3 4
Direct
0.000 0.000 0.000
0.252 0.252 0.252
0.500 0.500 0.500
0.748 0.748 0.748
0.126 0.126 0.126
0.374 0.374 0.374
0.626 0.626 0.626
0.874 0.874 0.874